Entry 1:
## KLaBe2 (meta-GGA SCAN)

Data for a PBEsol-optimized structure of KLaBe2.

```
data_KLaBe2
_cell_length_a 5.271
_cell_length_b 5.271
_cell_length_c 3.496
_cell_angle_alpha 90.00
_cell_angle_beta 90.00
_cell_angle_gamma 90.00
_space_group_name_H-M_alt 'P 4/m m m'
_space_group_IT_number 123
_space_group_name_Hall '-P 4 2'
loop_
_atom_site_label
_atom_site_fract_x
_atom_site_fract_y
_atom_site_fract_z
_atom_site_occupancy
K1 0.000 0.000 0.000 1
La1 0.500 0.500 0.000 1
Be1 0.000 0.500 0.500 1
```

Summary:
Calculated total energy (eV/cell): -57.2
Formation energy from the elements (eV per atom): 0.729
Total magnetization (Bohr magnetons per cell): 0.000

=====

Entry 2:
## NaAs2SBr (meta-GGA SCAN)

Data for a PBEsol-optimized structure of NaAs2SBr.

```
data_NaAs2SBr
_cell_length_a 5.122
_cell_length_b 5.122
_cell_length_c 4.762
_cell_angle_alpha 90.00
_cell_angle_beta 90.00
_cell_angle_gamma 90.00
_space_group_name_H-M_alt 'P 4/m m m'
_space_group_IT_number 123
_space_group_name_Hall '-P 4 2'
loop_
_atom_site_label
_atom_site_fract_x
_atom_site_fract_y
_atom_site_fract_z
_atom_site_occupancy
Na1 0.000 0.000 0.000 1
As1 0.000 0.500 0.000 1
S1 0.500 0.500 0.500 1
Br1 0.000 0.000 0.500 1
```

Summary:
Calculated total energy (eV/cell): -68.2
Total magnetization (Bohr magnetons per cell): 0.000
Formation energy (no corrections) (eV per formula unit): 5.5

=====

Entry 3:
## Al2CdMo (meta-GGA SCAN)

Data for a PBEsol-optimized structure of Al2CdMo.

```
data_Al2CdMo
_cell_length_a 2.961
_cell_length_b 3.953
_cell_length_c 5.582
_cell_angle_alpha 90.00
_cell_angle_beta 90.00
_cell_angle_gamma 90.00
_space_group_name_H-M_alt 'P m m 2'
_space_group_IT_number 25
loop_
_space_group_symop_operation_xyz
'x,y,z'
'-x,-y,z'
'-x,y,z'
'x,-y,z'
loop_
_atom_site_label
_atom_site_fract_x
_atom_site_fract_y
_atom_site_fract_z
_atom_site_occupancy
Al1 0.000 0.000 0.000 1
Al2 0.500 0.500 0.267 1
Cd1 0.000 0.000 0.509 1
Mo1 0.500 0.500 0.792 1
```

Summary:
Calculated total energy (eV/cell): -80.5
Formation energy from the elements (eV per atom): 0.080
Total magnetization (Bohr magnetons per cell): 0.000

=====

Entry 4:
## ReMoS2Cl (meta-GGA SCAN)

Data for a PBEsol-optimized structure of ReMoS2Cl.

```
data_ReMoS2Cl
_cell_length_a 4.621
_cell_length_b 4.621
_cell_length_c 4.758
_cell_angle_alpha 90.00
_cell_angle_beta 90.00
_cell_angle_gamma 90.00
_space_group_name_H-M_alt 'P 4/m m m'
_space_group_IT_number 123
_space_group_name_Hall '-P 4 2'
loop_
_atom_site_label
_atom_site_fract_x
_atom_site_fract_y
_atom_site_fract_z
_atom_site_occupancy
Re1 0.000 0.000 0.000 1
Mo1 0.500 0.500 0.500 1
S1 0.000 0.500 0.500 1
Cl1 0.500 0.500 0.000 1
```

Summary:
Calculated total energy (eV/cell): -128.3
Total magnetization (Bohr magnetons per cell): 6.532
Formation energy (no corrections) (eV per formula unit): 4.9

=====

Entry 5:
## Cd3MoI (meta-GGA SCAN)

Data for a PBEsol-optimized structure of Cd3MoI.

```
data_Cd3MoI
_cell_length_a 5.659
_cell_length_b 5.659
_cell_length_c 5.659
_cell_angle_alpha 90.00
_cell_angle_beta 90.00
_cell_angle_gamma 90.00
_space_group_name_H-M_alt 'P m -3 m'
_space_group_IT_number 221
_space_group_name_Hall '-P 4 2 3'
loop_
_atom_site_label
_atom_site_fract_x
_atom_site_fract_y
_atom_site_fract_z
_atom_site_occupancy
Cd1 0.000 0.000 0.500 1
Mo1 0.500 0.500 0.500 1
I1 0.000 0.000 0.000 1
```

Summary:
Calculated total energy (eV/cell): -155.1
Total magnetization (Bohr magnetons per cell): 5.016
Formation energy (no corrections) (eV per formula unit): 7.7

=====

Entry 6:
## SrCaLa (meta-GGA SCAN)

Data for a PBEsol-optimized structure of SrCaLa.

```
data_SrCaLa
_cell_length_a 6.1744
_cell_length_b 6.1744
_cell_length_c 3.6989
_cell_angle_alpha 90.00
_cell_angle_beta 90.00
_cell_angle_gamma 120.00
_space_group_name_H-M_alt 'P 3 m 1'
_space_group_IT_number 156
loop_
_space_group_symop_operation_xyz
'x,y,z'
'-y,x-y,z'
'-x+y,-x,z'
'-y,-x,z'
'-x+y,y,z'
'x,x-y,z'
loop_
_atom_site_label
_atom_site_fract_x
_atom_site_fract_y
_atom_site_fract_z
_atom_site_occupancy
Sr1 0.0000 0.0000 0.0000 1
Ca1 0.3333 0.6667 0.2556 1
La1 0.6667 0.3333 0.6293 1
```

Summary:
Energy above the lowest structure with this stoichiometry (eV/atom): 0.002
Calculated total energy (eV/cell): -74.7
Formation energy from the elements (eV per atom): 0.128
Total magnetization (Bohr magnetons per cell): 0.286

=====

Entry 7:
## Ag4SbPb (meta-GGA SCAN)

Data for a PBEsol-optimized structure of Ag4SbPb.

```
data_Ag4SbPb
_cell_length_a 7.870
_cell_length_b 7.870
_cell_length_c 7.870
_cell_angle_alpha 90.00
_cell_angle_beta 90.00
_cell_angle_gamma 90.00
_space_group_name_H-M_alt 'F -4 3 m'
_space_group_IT_number 216
_space_group_name_Hall 'F -4 2 3'
loop_
_atom_site_label
_atom_site_fract_x
_atom_site_fract_y
_atom_site_fract_z
_atom_site_occupancy
Ag1 0.125 0.125 0.125 1
Sb1 0.000 0.000 0.500 1
Pb1 0.250 0.250 0.750 1
```

Summary:
Calculated total energy (eV/cell): -951.8
Total magnetization (Bohr magnetons per cell): 0.000
Formation energy (no corrections) (eV per formula unit): 0.6

=====

Entry 8:
## Be2ZnSe (meta-GGA SCAN)

Data for a PBEsol-optimized structure of Be2ZnSe.

```
data_Be2ZnSe
_cell_length_a 2.605
_cell_length_b 2.605
_cell_length_c 8.256
_cell_angle_alpha 90.00
_cell_angle_beta 90.00
_cell_angle_gamma 90.00
_space_group_name_H-M_alt 'P 4 m m'
_space_group_IT_number 99
loop_
_space_group_symop_operation_xyz
'x,y,z'
'-y,x,z'
'-x,-y,z'
'y,-x,z'
'-x,y,z'
'y,x,z'
'x,-y,z'
'-y,-x,z'
loop_
_atom_site_label
_atom_site_fract_x
_atom_site_fract_y
_atom_site_fract_z
_atom_site_occupancy
Be1 0.000 0.000 0.000 1
Be2 0.500 0.500 0.143 1
Zn1 0.500 0.500 0.805 1
Se1 0.000 0.000 0.454 1
```

Summary:
Energy above the lowest structure with this stoichiometry (eV/atom): 0.116
Calculated total energy (eV/cell): -40.8
Total magnetization (Bohr magnetons per cell): 0.000
Formation energy (no corrections) (eV per formula unit): 1.5

=====

Entry 9:
## Be2Co (meta-GGA SCAN)

Data for a PBEsol-optimized structure of Be2Co.

```
data_Be2Co
_cell_length_a 2.594
_cell_length_b 2.594
_cell_length_c 16.282
_cell_angle_alpha 90.00
_cell_angle_beta 90.00
_cell_angle_gamma 90.00
_space_group_name_H-M_alt 'I 41/a m d'
_space_group_IT_number 141
loop_
_space_group_symop_operation_xyz
'x,y,z'
'-x,-y,-z'
'-y+1/4,x+3/4,z+1/4'
'y+1/4,-x+3/4,-z+1/4'
'-x+1/2,-y,z+1/2'
'x+1/2,y,-z+1/2'
'y+1/4,-x+1/4,z+3/4'
'-y+1/4,x+1/4,-z+3/4'
'x,-y,-z'
'-x,y,z'
'-y+1/4,-x+1/4,-z+3/4'
'y+1/4,x+1/4,z+3/4'
'-x+1/2,y,-z+1/2'
'x+1/2,-y,z+1/2'
'y+1/4,x+3/4,-z+1/4'
'-y+1/4,-x+3/4,z+1/4'
'x+1/2,y+1/2,z+1/2'
'-x+1/2,-y+1/2,-z+1/2'
'-y+3/4,x+1/4,z+3/4'
'y+3/4,-x+1/4,-z+3/4'
'-x,-y+1/2,z'
'x,y+1/2,-z'
'y+3/4,-x+3/4,z+1/4'
'-y+3/4,x+3/4,-z+1/4'
'x+1/2,-y+1/2,-z+1/2'
'-x+1/2,y+1/2,z+1/2'
'-y+3/4,-x+3/4,-z+1/4'
'y+3/4,x+3/4,z+1/4'
'-x,y+1/2,-z'
'x,-y+1/2,z'
'y+3/4,x+1/4,-z+3/4'
'-y+3/4,-x+1/4,z+3/4'
loop_
_atom_site_label
_atom_site_fract_x
_atom_site_fract_y
_atom_site_fract_z
_atom_site_occupancy
Be1 0.000 0.250 0.305 1
Co1 0.000 0.250 0.875 1
```

Summary:
Calculated total energy (eV/cell): -104.0
Formation energy from the elements (eV per atom): 0.007
Total magnetization (Bohr magnetons per cell): 0.000

=====

Entry 10:
## YTiBiIr2 (meta-GGA SCAN)

Data for a PBEsol-optimized structure of YTiBiIr2.

```
data_YTiBiIr2
_cell_length_a 4.932
_cell_length_b 4.932
_cell_length_c 5.413
_cell_angle_alpha 90.00
_cell_angle_beta 90.00
_cell_angle_gamma 90.00
_space_group_name_H-M_alt 'P 4/m m m'
_space_group_IT_number 123
_space_group_name_Hall '-P 4 2'
loop_
_atom_site_label
_atom_site_fract_x
_atom_site_fract_y
_atom_site_fract_z
_atom_site_occupancy
Y1 0.000 0.000 0.000 1
Ti1 0.500 0.500 0.000 1
Bi1 0.000 0.000 0.500 1
Ir1 0.000 0.500 0.500 1
```

Summary:
Calculated total energy (eV/cell): -257.5
Formation energy from the elements (eV per atom): 1.422
Total magnetization (Bohr magnetons per cell): 3.622

=====

Entry 11:
## Ca2SnPRu (meta-GGA SCAN)

Data for a PBEsol-optimized structure of Ca2SnPRu.

```
data_Ca2SnPRu
_cell_length_a 5.178
_cell_length_b 5.178
_cell_length_c 4.986
_cell_angle_alpha 90.00
_cell_angle_beta 90.00
_cell_angle_gamma 90.00
_space_group_name_H-M_alt 'P 4/m m m'
_space_group_IT_number 123
_space_group_name_Hall '-P 4 2'
loop_
_atom_site_label
_atom_site_fract_x
_atom_site_fract_y
_atom_site_fract_z
_atom_site_occupancy
Ca1 0.000 0.500 0.000 1
Sn1 0.000 0.000 0.500 1
P1 0.000 0.000 0.000 1
Ru1 0.500 0.500 0.500 1
```

Summary:
Calculated total energy (eV/cell): -98.8
Formation energy from the elements (eV per atom): 0.327
Total magnetization (Bohr magnetons per cell): 1.561

=====

Entry 12:
## Tl2HgRh (meta-GGA SCAN)

Data for a PBEsol-optimized structure of Tl2HgRh.

```
data_Tl2HgRh
_cell_length_a 3.128
_cell_length_b 4.388
_cell_length_c 13.500
_cell_angle_alpha 90.00
_cell_angle_beta 90.00
_cell_angle_gamma 90.00
_space_group_name_H-M_alt 'A m m 2'
_space_group_IT_number 38
loop_
_space_group_symop_operation_xyz
'x,y,z'
'-x,-y,z'
'-x,y,z'
'x,-y,z'
'x,y+1/2,z+1/2'
'-x,-y+1/2,z+1/2'
'-x,y+1/2,z+1/2'
'x,-y+1/2,z+1/2'
loop_
_atom_site_label
_atom_site_fract_x
_atom_site_fract_y
_atom_site_fract_z
_atom_site_occupancy
Tl1 0.000 0.000 0.000 1
Tl2 0.500 0.000 0.311 1
Hg1 0.000 0.000 0.686 1
Rh1 0.500 0.000 0.514 1
```

Summary:
Energy above the lowest structure with this stoichiometry (eV/atom): 0.000
Calculated total energy (eV/cell): -492.9
Formation energy from the elements (eV per atom): 0.047
Total magnetization (Bohr magnetons per cell): 0.000

=====

Q: calculated total energy of number 1 (KLaBe2)?
A: -57.2 eV/cell

=====

Q: Which value of calculated total energy does entry 12 give?
A: -492.9 eV/cell

=====

Q: What is the total magnetization in the fifth record?
A: 5.016 Bohr magnetons per cell